# 1
VASP calculation (PBE-GGA) on a geometry-optimized Tm11Cd9Pt4 structure.

Output
Total DFT energy (no corrections): -4.079 eV per atom
Space-group type: Cmmm (65)
Calculated formation energy: -16.31 eV/f.u.

a = 3.5928 Å, b = 13.1118 Å, c = 13.1118 Å
α = 113.01°, β = 90.00°, γ = 90.00°
With the nearest neighbours (Å) after each atom.
Fractional positions:
Tm 0.0000 0.5849 0.9233  2 Pt 2.79
Tm 0.0000 0.4151 0.0767  2 Pt 2.79
Tm 0.0000 0.9233 0.5849  2 Pt 2.79
Tm 0.0000 0.0767 0.4151  2 Pt 2.79
Tm 0.0000 0.6290 0.3710  4 Pt 2.89
Tm 0.0000 0.3710 0.6290  4 Pt 2.89
Tm 0.0000 0.8388 0.1612  8 Cd 3.19-3.34, 3 Tm 3.52-3.56
Tm 0.0000 0.1612 0.8388  8 Cd 3.19-3.34, 3 Tm 3.52-3.56
Tm 0.0000 0.0000 0.0000  8 Cd 3.14
Tm 0.0000 0.6949 0.6949  4 Pt 2.90
Tm 0.0000 0.3051 0.3051  4 Pt 2.90
Cd 0.5000 0.6349 0.1533  1 Cd 3.07, 1 Pt 3.15, 8 Tm 3.19-3.40
Cd 0.5000 0.3651 0.8467  1 Cd 3.07, 1 Pt 3.15, 8 Tm 3.19-3.40
Cd 0.5000 0.1533 0.6349  1 Cd 3.07, 1 Pt 3.15, 8 Tm 3.19-3.40
Cd 0.5000 0.8467 0.3651  1 Cd 3.07, 1 Pt 3.15, 8 Tm 3.19-3.40
Cd 0.5000 0.7870 0.9315  1 Pt 3.09, 8 Tm 3.14-3.37, 1 Cd 3.16
Cd 0.5000 0.2130 0.0685  1 Pt 3.09, 8 Tm 3.14-3.37, 1 Cd 3.16
Cd 0.5000 0.9315 0.7870  1 Pt 3.09, 8 Tm 3.14-3.37, 1 Cd 3.16
Cd 0.5000 0.0685 0.2130  1 Pt 3.09, 8 Tm 3.14-3.37, 1 Cd 3.16
Cd 0.5000 0.5000 0.5000  4 Pt 3.08, 8 Tm 3.34-3.35
Pt 0.5000 0.5502 0.7497  6 Tm 2.79-2.90, 2 Cd 3.08-3.09
Pt 0.5000 0.4498 0.2503  6 Tm 2.79-2.90, 2 Cd 3.08-3.09
Pt 0.5000 0.7497 0.5502  6 Tm 2.79-2.90, 2 Cd 3.08-3.09
Pt 0.5000 0.2503 0.4498  6 Tm 2.79-2.90, 2 Cd 3.08-3.09

***

# 2
VASP calculation (PBE-GGA) on a geometry-optimized Hg2OsBr structure.

Output
Raw formation energy: 1.2609 eV/atom
Total DFT energy (no corrections): -2.116 eV per atom
Space-group type: Fm-3m (225)
Excess energy over the best structure of this formula in the dataset: 0.681 eV/atom

a = 5.0107 Å, b = 5.0107 Å, c = 5.0107 Å
α = 60.00°, β = 60.00°, γ = 60.00°
With the nearest neighbours (Å) after each atom.
Fractional positions:
Os 0.5000 0.5000 0.5000  8 Hg 3.07
Hg 0.2500 0.2500 0.2500  4 Br 3.07, 4 Os 3.07
Hg 0.7500 0.7500 0.7500  4 Br 3.07, 4 Os 3.07
Br 0.0000 0.0000 0.0000  8 Hg 3.07